(w)
The following is a DFT calculation (PBE+U) of an optimized crystal structure of Dy2Mo3O12.

The space group is P-42_1m (No. 113) and the conventional cell measures 7.4525, 7.4525 and 10.7097 Å, with angles of 90.00, 90.00 and 90.00 degrees. Symmetry generates all atoms from Dy at (0.1869, 0.3131, 0.2625), Mo at (0.0000, 0.0000, 0.0000), Mo at (0.2069, 0.2931, 0.6442), O at (0.0061, 0.7747, 0.7035), O at (0.0455, 0.1901, 0.0974), O at (0.1258, 0.6258, 0.3079) and O at (0.1952, 0.3048, 0.4782).

The calculation puts the density of states at the Fermi level at 0.00 states/eV/atom.



(x)
The following is a DFT calculation (PBE+U) of an optimized crystal structure of Dy2Mo3O12.

The space group is C2/c (No. 15) and the conventional cell measures 7.6898, 11.5231 and 11.3985 Å, with angles of 90.00, 109.52 and 90.00 degrees. Symmetry generates all atoms from Dy at (0.1664, 0.1221, 0.0910), Mo at (0.0000, 0.1305, 0.7500), Mo at (0.1462, 0.3923, 0.5512), O at (0.0512, 0.2823, 0.4411), O at (0.0651, 0.4609, 0.9242), O at (0.1308, 0.2081, 0.8927), O at (0.1324, 0.0501, 0.4609), O at (0.1672, 0.0412, 0.7185) and O at (0.2264, 0.3228, 0.7017).

The calculation puts the density of states at the Fermi level at 0.00 states/eV/atom.



Stability summary - winner: (w); margin: 21 meV per atom.



(w)
The following is a DFT calculation (PBE+U) of an optimized crystal structure of DyMoO5.

The space group is C2/c (No. 15) and the conventional cell measures 9.0520, 6.4442 and 7.6566 Å, with angles of 90.00, 114.76 and 90.00 degrees. Symmetry generates all atoms from Dy at (0.0000, 0.0532, 0.2500), Mo at (0.0000, 0.5000, 0.0000), O at (0.0000, 0.4213, 0.2500), O at (0.0093, 0.2066, 0.9609) and O at (0.2289, 0.4828, 0.6161).

The calculation puts the density of states at the Fermi level at 0.33 states/eV/atom.



(x)
The following is a DFT calculation (PBE+U) of an optimized crystal structure of DyMoO5.

The space group is P2_1/c (No. 14) and the conventional cell measures 5.3660, 12.5720 and 6.9346 Å, with angles of 90.00, 117.33 and 90.00 degrees. Symmetry generates all atoms from Dy at (0.1561, 0.0585, 0.2832), Mo at (0.4084, 0.1356, 0.8501), O at (0.0388, 0.5562, 0.9845), O at (0.2009, 0.0590, 0.9578), O at (0.2704, 0.2350, 0.2657), O at (0.2696, 0.6566, 0.4173) and O at (0.4850, 0.5760, 0.8446).

The calculation puts the density of states at the Fermi level at 0.00 states/eV/atom.



Stability summary - winner: (x); margin: 167 meV per atom.